Material: SbPb2
Method: DFT, GGA-PBEsol
State: optimized geometry

Calculated values
Magnetization (μB per atom): 0.000
E above lowest polymorph (meV/atom): 34
Electronic total energy (eV per atom): -4.131

a = 3.400 Å, b = 6.787 Å, c = 8.282 Å
α = 108.55°, β = 90.00°, γ = 104.51°
Sites, in units of the cell vectors:
Pb: 0.557 0.113 0.844
Pb: 0.872 0.745 0.502
Pb: 0.128 0.255 0.498
Pb: 0.443 0.887 0.156
Sb: 0.207 0.414 0.177
Sb: 0.793 0.586 0.823

---

Material: SbPb
Method: DFT, GGA-PBEsol
State: optimized geometry

Calculated values
Magnetization (μB per atom): 0.000
Electronic total energy (eV per atom): -4.232

a = 3.928 Å, b = 5.367 Å, c = 6.320 Å
α = 115.12°, β = 108.10°, γ = 90.00°
Sites, in units of the cell vectors:
Pb: 0.888 0.638 0.777
Pb: 0.112 0.362 0.223
Sb: 0.357 0.107 0.714
Sb: 0.643 0.893 0.286

---

Material: SbPb2
Method: DFT, GGA-PBEsol
State: optimized geometry

Calculated values
Magnetization (μB per atom): 0.000
E above lowest polymorph (meV/atom): 39
Electronic total energy (eV per atom): -4.126

a = 3.397 Å, b = 6.655 Å, c = 8.144 Å
α = 105.00°, β = 90.00°, γ = 104.79°
Sites, in units of the cell vectors:
Pb: 0.006 0.013 0.991
Pb: 0.664 0.327 0.336
Pb: 0.328 0.656 0.670
Pb: 0.389 0.778 0.278
Sb: 0.053 0.106 0.609
Sb: 0.727 0.454 0.950

---

Material: SbPb
Method: DFT, GGA-PBEsol
State: optimized geometry

Calculated values
Magnetization (μB per atom): 0.000
Electronic total energy (eV per atom): -4.216

a = 3.321 Å, b = 6.042 Å, c = 6.562 Å
α = 115.26°, β = 104.66°, γ = 90.00°
Sites, in units of the cell vectors:
Pb: 0.136 0.525 0.272
Pb: 0.864 0.475 0.728
Sb: 0.615 0.987 0.230
Sb: 0.385 0.013 0.770

---

Material: SbPb5
Method: DFT, GGA-PBEsol
State: optimized geometry

Calculated values
Magnetization (μB per atom): 0.000
Electronic total energy (eV per atom): -4.063

a = 4.822 Å, b = 4.945 Å, c = 7.747 Å
α = 90.00°, β = 108.13°, γ = 90.00°
Sites, in units of the cell vectors:
Pb: 0.333 0.500 0.667
Pb: 0.164 0.000 0.329
Pb: 0.000 0.500 0.000
Pb: 0.836 0.000 0.671
Pb: 0.667 0.500 0.333
Sb: 0.500 0.000 0.000

---

Material: SbPb
Method: DFT, GGA-PBEsol
State: optimized geometry

Calculated values
Magnetization (μB per atom): 0.000
Electronic total energy (eV per atom): -4.192

a = 3.320 Å, b = 3.320 Å, c = 5.278 Å
α = 90.00°, β = 90.00°, γ = 105.02°
Sites, in units of the cell vectors:
Pb: 0.000 0.000 0.000
Sb: 0.500 0.500 0.500

---

Material: SbPb
Method: DFT, GGA-PBEsol
State: optimized geometry

Calculated values
Magnetization (μB per atom): 0.000
Electronic total energy (eV per atom): -4.190

a = 3.380 Å, b = 3.380 Å, c = 5.656 Å
α = 90.00°, β = 90.00°, γ = 120.00°
Sites, in units of the cell vectors:
Pb: 0.000 0.000 0.000
Sb: 0.333 0.667 0.500

---

Material: Sb12Pb17
Method: DFT, GGA-PBEsol
State: optimized geometry

Calculated values
Magnetization (μB per atom): 0.000
Electronic total energy (eV per atom): -4.132

a = 10.319 Å, b = 10.319 Å, c = 10.319 Å
α = 109.47°, β = 109.47°, γ = 109.47°
Sites, in units of the cell vectors:
Pb: 0.273 0.572 0.572
Pb: 0.727 0.300 0.300
Pb: 0.000 0.428 0.700
Pb: 0.000 0.700 0.428
Pb: 0.572 0.572 0.273
Pb: 0.300 0.300 0.727
Pb: 0.428 0.700 0.000
Pb: 0.700 0.428 0.000
Pb: 0.572 0.273 0.572
Pb: 0.300 0.727 0.300
Pb: 0.700 0.000 0.428
Pb: 0.428 0.000 0.700
Pb: 0.305 0.305 0.305
Pb: 0.695 0.000 0.000
Pb: 0.000 0.695 0.000
Pb: 0.000 0.000 0.695
Pb: 0.000 0.000 0.000
Sb: 0.804 0.611 0.611
Sb: 0.196 0.807 0.807
Sb: 0.000 0.389 0.193
Sb: 0.000 0.193 0.389
Sb: 0.611 0.611 0.804
Sb: 0.807 0.807 0.196
Sb: 0.389 0.193 0.000
Sb: 0.193 0.389 0.000
Sb: 0.611 0.804 0.611
Sb: 0.807 0.196 0.807
Sb: 0.193 0.000 0.389
Sb: 0.389 0.000 0.193

---

Material: SbPb2
Method: DFT, GGA-PBEsol
State: optimized geometry

Calculated values
Magnetization (μB per atom): 0.000
E above lowest polymorph (meV/atom): 0
Electronic total energy (eV per atom): -4.165

a = 5.405 Å, b = 6.622 Å, c = 9.799 Å
α = 90.00°, β = 90.00°, γ = 90.00°
Sites, in units of the cell vectors:
Pb: 0.750 0.445 0.715
Pb: 0.250 0.055 0.215
Pb: 0.750 0.945 0.785
Pb: 0.250 0.555 0.285
Pb: 0.750 0.309 0.071
Pb: 0.250 0.191 0.571
Pb: 0.750 0.809 0.429
Pb: 0.250 0.691 0.929
Sb: 0.750 0.787 0.101
Sb: 0.250 0.713 0.601
Sb: 0.750 0.287 0.399
Sb: 0.250 0.213 0.899

---

Material: Sb3Pb4
Method: DFT, GGA-PBEsol
State: optimized geometry

Calculated values
Magnetization (μB per atom): 0.000
Electronic total energy (eV per atom): -4.179

a = 4.007 Å, b = 4.007 Å, c = 12.880 Å
α = 98.95°, β = 98.95°, γ = 90.00°
Sites, in units of the cell vectors:
Pb: 0.853 0.853 0.707
Pb: 0.147 0.147 0.293
Pb: 0.567 0.567 0.134
Pb: 0.433 0.433 0.866
Sb: 0.000 0.000 0.000
Sb: 0.723 0.723 0.445
Sb: 0.277 0.277 0.555

---

Material: Sc2SbPb
Method: DFT, GGA-PBEsol
State: optimized geometry

Calculated values
Magnetization (μB per atom): 0.000
E above lowest polymorph (meV/atom): 42
Electronic total energy (eV per atom): -6.040

a = 4.136 Å, b = 4.136 Å, c = 5.851 Å
α = 90.00°, β = 90.00°, γ = 90.00°
Sites, in units of the cell vectors:
Pb: 0.000 0.000 0.000
Sb: 0.500 0.500 0.500
Sc: 0.000 0.000 0.500
Sc: 0.500 0.500 0.000

---

Material: Sc2SbPb
Method: DFT, GGA-PBEsol
State: optimized geometry

Calculated values
Magnetization (μB per atom): 0.001
E above lowest polymorph (meV/atom): 106
Electronic total energy (eV per atom): -5.976

a = 3.755 Å, b = 3.755 Å, c = 6.569 Å
α = 90.00°, β = 90.00°, γ = 90.00°
Sites, in units of the cell vectors:
Pb: 0.500 0.500 0.000
Sb: 0.500 0.500 0.500
Sc: 0.000 0.000 0.735
Sc: 0.000 0.000 0.265

---

Number 1: ΔE_f (raw) 0.0534 eV/atom. Number 2: ΔE_f (raw) 0.0464 eV/atom. Number 3: ΔE_f (raw) 0.0589 eV/atom. Number 4: ΔE_f (raw) 0.0619 eV/atom. Number 5: ΔE_f (raw) 0.0289 eV/atom. Number 6: ΔE_f (raw) 0.0865 eV/atom. Number 7: ΔE_f (raw) 0.0875 eV/atom. Number 8: ΔE_f (raw) 0.0982 eV/atom. Number 9: ΔE_f (raw) 0.0196 eV/atom. Number 10: ΔE_f (raw) 0.0596 eV/atom. Number 11: ΔE_f (raw) -0.5986 eV/atom. Number 12: ΔE_f (raw) -0.5347 eV/atom.